The following is a DFT calculation (PBE) of Rb8Au3Br4 after structural relaxation.

abc: 9.9761 9.9761 9.9393
angles: 119.85 119.85 89.96
Element x y z (fractional)
1 Rb 0.2441 0.2441 0.4923
2 Rb 0.2457 0.2457 0.9972
3 Rb 0.2468 0.7532 0.0000
4 Rb 0.2497 0.7503 0.5000
5 Rb 0.7503 0.2497 0.5000
6 Rb 0.7532 0.2468 0.0000
7 Rb 0.7543 0.7543 0.0028
8 Rb 0.7559 0.7559 0.5077
9 Au 0.0000 0.5000 0.5000
10 Au 0.5000 0.0000 0.5000
11 Au 0.5000 0.5000 0.5000
12 Br 0.0000 0.0000 0.0000
13 Br 0.0000 0.0000 0.5000
14 Br 0.0000 0.5000 0.0000
15 Br 0.5000 0.0000 0.0000

calculated total energy	-2.637	eV/atom
formation energy (no corrections)	-1019.8	meV per atom